VASP calculation (PBE) on crystalline Li2Ga2Ir at its relaxed geometry.

Values from the calculation:
The formation energy is -312 meV/atom. The calculation puts the energy above the most stable polymorph in this dataset at 100 meV/atom. The calculation puts the density of states at the Fermi level at 5.47 states/eV/cell. The calculation puts the total DFT energy (no corrections) at -81.22 eV for the cell shown.

Geometry as CIF:
```
data_Li2Ga2Ir
_chemical_formula_sum 'Li8 Ga8 Ir4'
_space_group_name_H-M_alt 'C 1 2/m 1'
_space_group_IT_number 12
_space_group_name_Hall '-C 2y'
_cell_length_a 7.715
_cell_length_b 4.458
_cell_length_c 9.811
_cell_angle_alpha 90.00
_cell_angle_beta 112.75
_cell_angle_gamma 90.00
loop_
_atom_site_label
_atom_site_type_symbol
_atom_site_fract_x
_atom_site_fract_y
_atom_site_fract_z
Li1 Li 0.134 0.000 0.447
Li2 Li 0.203 0.500 0.214
Ga1 Ga 0.006 0.000 0.866
Ga2 Ga 0.077 0.500 0.633
Ir1 Ir 0.178 0.500 0.900
```